Here is a relaxed EuDyHo4 crystal from the Alexandria database. Energies are from PBE.

Output
The formation energy from the elements comes out at 0.251 eV/atom. The value obtained for the spin magnetization is 7.35 μB per formula unit. For the theoretical density, the calculation gives 7.8 g/cm3.

Lattice parameters (Å, degrees): 9.390 9.390 9.390 90.00 90.00 90.00
Space group F-43m (No. 216)
Unique sites:
Eu: 0.000 0.000 0.000 x4
Dy: 0.250 0.250 0.750 x4
Ho: 0.123 0.123 0.377 x16